Computed, not measured: a relaxed LiHgHBr2 crystal at the PBE level of DFT.

Values from the calculation:
N(E_F)	0.5	states/eV per cell
size of the total moment	0.0	μB per cell
energy	-2.2063	eV/atom

Cell: 5.7492 5.7492 3.7021 Å, 90.00 90.00 90.00°
Positions (direct):
H  0.0000  0.0000  0.5000
Hg  0.0000  0.0000  0.0000
Br  0.0000  0.5000  0.0000
Br  0.5000  0.0000  0.0000
Li  0.5000  0.5000  0.5000

=====

Computed, not measured: a relaxed MnHgH2Br crystal at the PBE level of DFT.

Values from the calculation:
N(E_F)	1.1	states/eV per cell
size of the total moment	4.7	μB per cell
energy	-3.2469	eV/atom

Cell: 4.0391 5.6697 4.0391 Å, 90.00 90.00 90.00°
Each line ends with the local moment (μB).
Positions (direct):
H  0.0000  0.0000  0.5000  -0.03
H  0.5000  0.0000  0.0000  -0.02
Mn  0.0000  0.0000  0.0000  4.32
Hg  0.5000  0.5000  0.5000  0.00
Br  0.0000  0.5000  0.0000  0.04

=====

Computed, not measured: a relaxed HgH16Br6N4 crystal at the PBE level of DFT.

Values from the calculation:
N(E_F)	0.0	states/eV per cell
size of the total moment	0.0	μB per cell
energy	-4.1502	eV/atom

Cell: 9.3354 9.2719 9.2630 Å, 90.00 90.00 90.00°
Positions (direct):
Br  0.2076  0.5000  0.5000
Br  0.2924  0.0000  0.0000
Br  0.7924  0.5000  0.5000
Br  0.7076  0.0000  0.0000
Br  0.5000  0.5998  0.1898
Br  0.5000  0.4002  0.8102
Br  0.0000  0.0998  0.3102
Br  0.0000  0.9002  0.6898
Br  0.5000  0.1897  0.4006
Br  0.5000  0.8103  0.5994
Br  0.0000  0.6897  0.0994
Br  0.0000  0.3103  0.9006
H  0.8296  0.0806  0.6491
H  0.8296  0.9194  0.3509
H  0.6704  0.5806  0.8509
H  0.6704  0.4194  0.1491
H  0.1704  0.9194  0.3509
H  0.1704  0.0806  0.6491
H  0.3296  0.4194  0.1491
H  0.3296  0.5806  0.8509
H  0.7057  0.1474  0.7620
H  0.7057  0.8526  0.2380
H  0.7943  0.6474  0.7380
H  0.7943  0.3526  0.2620
H  0.2943  0.8526  0.2380
H  0.2943  0.1474  0.7620
H  0.2057  0.3526  0.2620
H  0.2057  0.6474  0.7380
H  0.6702  0.1489  0.5815
H  0.6702  0.8511  0.4185
H  0.8298  0.6489  0.9185
H  0.8298  0.3511  0.0815
H  0.3298  0.8511  0.4185
H  0.3298  0.1489  0.5815
H  0.1702  0.3511  0.0815
H  0.1702  0.6489  0.9185
H  0.7936  0.2607  0.6509
H  0.7936  0.7393  0.3491
H  0.7064  0.7607  0.8491
H  0.7064  0.2393  0.1509
H  0.2064  0.7393  0.3491
H  0.2064  0.2607  0.6509
H  0.2936  0.2393  0.1509
H  0.2936  0.7607  0.8491
Hg  0.5000  0.5000  0.5000
Hg  0.0000  0.0000  0.0000
N  0.7497  0.1589  0.6603
N  0.7497  0.8411  0.3397
N  0.7503  0.6589  0.8397
N  0.7503  0.3411  0.1603
N  0.2503  0.8411  0.3397
N  0.2503  0.1589  0.6603
N  0.2497  0.3411  0.1603
N  0.2497  0.6589  0.8397

=====

Computed, not measured: a relaxed HgHBrO crystal at the PBE level of DFT.

Values from the calculation:
N(E_F)	0.0	states/eV per cell
size of the total moment	0.0	μB per cell
energy	-3.1612	eV/atom

Cell: 3.9397 4.3571 6.2846 Å, 89.48 73.96 57.58°
Positions (direct):
Hg  0.0686  0.9744  0.8761
H  0.3688  0.8395  0.2076
Br  0.7231  0.1624  0.5736
O  0.5235  0.7586  0.0456

=====

Computed, not measured: a relaxed HgH2Br2O crystal at the PBE level of DFT.

Values from the calculation:
N(E_F)	0.0	states/eV per cell
size of the total moment	0.0	μB per cell
energy	-3.2528	eV/atom

Cell: 8.4015 9.8087 6.5573 Å, 138.41 90.00 90.00°
Positions (direct):
Hg  0.4842  0.8568  0.0000
Hg  0.9842  0.1432  0.0000
H  0.8531  0.9369  0.1782
H  0.8531  0.7587  0.8218
H  0.3531  0.2413  0.1782
H  0.3531  0.0631  0.8218
Br  0.9832  0.8674  0.4343
Br  0.9832  0.4331  0.5657
Br  0.4832  0.1326  0.5657
Br  0.4832  0.5669  0.4343
O  0.8163  0.9010  0.0000
O  0.3163  0.0990  0.0000

=====

Computed, not measured: a relaxed HgHOsBr2 crystal at the PBE level of DFT.

Values from the calculation:
N(E_F)	4.2	states/eV per cell
size of the total moment	3.4	μB per cell
energy	-2.4369	eV/atom

Cell: 5.5136 3.4485 5.5136 Å, 90.00 90.00 90.00°
Each line ends with the local moment (μB).
Positions (direct):
H  0.0000  0.0000  0.0000  -0.01
Os  0.5000  0.5000  0.5000  2.79
Hg  0.0000  0.5000  0.0000  0.00
Br  0.0000  0.0000  0.5000  0.08
Br  0.5000  0.0000  0.0000  0.15

=====

Computed, not measured: a relaxed Rb2HgHBr6 crystal at the PBE level of DFT.

Values from the calculation:
N(E_F)	8.8	states/eV per cell
size of the total moment	0.0	μB per cell
energy	-2.1969	eV/atom

Cell: 7.3643 7.3643 7.8776 Å, 62.13 62.13 90.00°
Positions (direct):
H  0.5000  0.5000  0.0000
Br  0.2206  0.2206  0.5587
Br  0.7794  0.7794  0.4413
Br  0.2824  0.2824  0.0000
Br  0.7176  0.7176  0.0000
Br  0.7176  0.2824  0.0000
Br  0.2824  0.7176  0.0000
Hg  0.0000  0.0000  0.0000
Rb  0.7500  0.2500  0.5000
Rb  0.2500  0.7500  0.5000

=====

Computed, not measured: a relaxed RbHgHBr2 crystal at the PBE level of DFT.

Values from the calculation:
N(E_F)	0.6	states/eV per cell
size of the total moment	0.0	μB per cell
energy	-2.2820	eV/atom

Cell: 5.9668 5.9668 3.8391 Å, 90.00 90.00 90.00°
Positions (direct):
H  0.0000  0.0000  0.5000
Br  0.0000  0.5000  0.0000
Br  0.5000  0.0000  0.0000
Hg  0.0000  0.0000  0.0000
Rb  0.5000  0.5000  0.5000

=====

Computed, not measured: a relaxed Rb2HgHBr crystal at the PBE level of DFT.

Values from the calculation:
N(E_F)	0.4	states/eV per cell
size of the total moment	0.0	μB per cell
energy	-2.0807	eV/atom

Cell: 5.6386 5.6386 5.2419 Å, 90.00 90.00 90.00°
Positions (direct):
H  0.0000  0.0000  0.0000
Br  0.5000  0.5000  0.5000
Hg  0.0000  0.0000  0.5000
Rb  0.0000  0.5000  0.0000
Rb  0.5000  0.0000  0.0000

=====

Computed, not measured: a relaxed HgH2RuBr crystal at the PBE level of DFT.

Values from the calculation:
N(E_F)	9.6	states/eV per cell
size of the total moment	1.8	μB per cell
energy	-2.5426	eV/atom

Cell: 3.7529 7.8445 3.7529 Å, 90.00 90.00 90.00°
Each line ends with the local moment (μB).
Positions (direct):
Ru  0.5000  0.5000  0.5000  1.65
Hg  0.0000  0.5000  0.0000  -0.01
Br  0.0000  0.0000  0.0000  0.01
H  0.0000  0.0000  0.5000  0.01
H  0.5000  0.0000  0.0000  0.00

=====

Computed, not measured: a relaxed Hg2SbHBr crystal at the PBE level of DFT.

Values from the calculation:
N(E_F)	0.7	states/eV per cell
size of the total moment	0.0	μB per cell
energy	-1.9724	eV/atom

Cell: 5.6758 5.6758 3.9445 Å, 90.00 90.00 90.00°
Positions (direct):
Sb  0.0000  0.0000  0.0000
Hg  0.0000  0.5000  0.0000
Hg  0.5000  0.0000  0.0000
Br  0.5000  0.5000  0.5000
H  0.0000  0.0000  0.5000

=====

Computed, not measured: a relaxed ScHgH2Br crystal at the PBE level of DFT.

Values from the calculation:
N(E_F)	4.3	states/eV per cell
size of the total moment	0.6	μB per cell
energy	-2.3642	eV/atom

Cell: 4.0081 6.7745 4.0081 Å, 90.00 90.00 90.00°
Each line ends with the local moment (μB).
Positions (direct):
Sc  0.5000  0.5000  0.5000  0.41
H  0.0000  0.0000  0.5000  -0.04
H  0.5000  0.0000  0.0000  -0.01
Hg  0.0000  0.5000  0.0000  0.08
Br  0.0000  0.0000  0.0000  -0.03

=====

- What is the formula in the tenth record?
  HgH2RuBr

=====

- The highest size of the total moment belongs to which entry?
  MnHgH2Br

=====

Please write out number 11 again, unchanged.
Computed, not measured: a relaxed Hg2SbHBr crystal at the PBE level of DFT.

Values from the calculation:
N(E_F)	0.7	states/eV per cell
size of the total moment	0.0	μB per cell
energy	-1.9724	eV/atom

Cell: 5.6758 5.6758 3.9445 Å, 90.00 90.00 90.00°
Positions (direct):
Sb  0.0000  0.0000  0.0000
Hg  0.0000  0.5000  0.0000
Hg  0.5000  0.0000  0.0000
Br  0.5000  0.5000  0.5000
H  0.0000  0.0000  0.5000

=====

What did the seventh record say?
Computed, not measured: a relaxed Rb2HgHBr6 crystal at the PBE level of DFT.

Values from the calculation:
N(E_F)	8.8	states/eV per cell
size of the total moment	0.0	μB per cell
energy	-2.1969	eV/atom

Cell: 7.3643 7.3643 7.8776 Å, 62.13 62.13 90.00°
Positions (direct):
H  0.5000  0.5000  0.0000
Br  0.2206  0.2206  0.5587
Br  0.7794  0.7794  0.4413
Br  0.2824  0.2824  0.0000
Br  0.7176  0.7176  0.0000
Br  0.7176  0.2824  0.0000
Br  0.2824  0.7176  0.0000
Hg  0.0000  0.0000  0.0000
Rb  0.7500  0.2500  0.5000
Rb  0.2500  0.7500  0.5000